Entry 1:
VASP calculation (PBE) on a relaxed SiSbMo2Pd crystal.

Computed properties:
The total energy comes out at -5.590 eV/atom. The energy relative to the elements, uncorrected is 8.45 eV/f.u. Its density of states at the Fermi level is 3.8 states/eV/cell.

```
data_SiSbMo2Pd
_cell_length_a 5.080
_cell_length_b 5.080
_cell_length_c 4.838
_cell_angle_alpha 90.00
_cell_angle_beta 90.00
_cell_angle_gamma 90.00
_space_group_name_H-M_alt 'P 4/m m m'
_space_group_IT_number 123
_space_group_name_Hall '-P 4 2'
loop_
_atom_site_label
_atom_site_type_symbol
_atom_site_fract_x
_atom_site_fract_y
_atom_site_fract_z
Si1 Si 0.000 0.000 0.000
Sb1 Sb 0.500 0.500 0.500
Mo1 Mo 0.000 0.500 0.500
Pd1 Pd 0.500 0.500 0.000
```

Entry 2:
VASP calculation (PBE) on a relaxed LiCrRe3 crystal.

Computed properties:
The calculation puts the energy relative to the elements at 1398 meV per atom. The total energy comes out at -8.378 eV/atom. Its density of states at the Fermi level is 6.3 states/eV/cell. The value obtained for the distance to the lowest polymorph of the same formula is 0.0 meV/atom.

```
data_LiCrRe3
_cell_length_a 4.092
_cell_length_b 4.092
_cell_length_c 4.092
_cell_angle_alpha 90.00
_cell_angle_beta 90.00
_cell_angle_gamma 90.00
_space_group_name_H-M_alt 'P m -3 m'
_space_group_IT_number 221
_space_group_name_Hall '-P 4 2 3'
loop_
_atom_site_label
_atom_site_type_symbol
_atom_site_fract_x
_atom_site_fract_y
_atom_site_fract_z
Li1 Li 0.000 0.000 0.000
Cr1 Cr 0.500 0.500 0.500
Re1 Re 0.000 0.000 0.500
```